Entry 1:
# LaRu2Rh2 (PBE-GGA, optimized geometry)
data_LaRu2Rh2
_chemical_formula_sum 'La2 Ru4 Rh4'
_space_group_name_H-M_alt 'P 1'
_space_group_IT_number 1
_cell_length_a 7.740
_cell_length_b 7.740
_cell_length_c 2.850
_cell_angle_alpha 90.00
_cell_angle_beta 90.00
_cell_angle_gamma 90.00
loop_
_space_group_symop_operation_xyz
'x,y,z'
loop_
_atom_site_label
_atom_site_type_symbol
_atom_site_fract_x
_atom_site_fract_y
_atom_site_fract_z
_atom_site_occupancy
Ru1 Ru 0.384 0.884 0.000 1
Ru2 Ru 0.884 0.616 0.000 1
Ru3 Ru 0.616 0.116 0.000 1
Ru4 Ru 0.116 0.384 0.000 1
Rh1 Rh 0.179 0.679 0.500 1
Rh2 Rh 0.679 0.821 0.500 1
Rh3 Rh 0.821 0.321 0.500 1
Rh4 Rh 0.321 0.179 0.500 1
La1 La 0.000 0.000 0.000 1
La2 La 0.500 0.500 0.000 1
# Final energy in eV/atom: -7.63
# Spin magnetization in μB/f.u.: 0.0
# Energy above the most stable polymorph in this dataset in eV per atom: 0.0784
# Calculated volume in Å³ per atom: 17.1
# DFT formation energy in eV/atom: 0.009

***

Entry 2:
# LaRu2Rh (PBE-GGA, optimized geometry)
data_LaRu2Rh
_chemical_formula_sum 'La1 Ru2 Rh1'
_space_group_name_H-M_alt 'P 1'
_space_group_IT_number 1
_cell_length_a 4.277
_cell_length_b 4.063
_cell_length_c 4.063
_cell_angle_alpha 90.00
_cell_angle_beta 90.00
_cell_angle_gamma 90.00
loop_
_space_group_symop_operation_xyz
'x,y,z'
loop_
_atom_site_label
_atom_site_type_symbol
_atom_site_fract_x
_atom_site_fract_y
_atom_site_fract_z
_atom_site_occupancy
La1 La 0.500 0.500 0.000 1
Rh1 Rh 0.500 0.000 0.500 1
Ru1 Ru 0.000 0.000 0.000 1
Ru2 Ru 0.000 0.500 0.500 1
# Final energy in eV/atom: -7.56
# Spin magnetization in μB/f.u.: 0.0
# Calculated volume in Å³ per atom: 17.7
# DFT formation energy in eV/atom: 0.151

***

Entry 3:
# La2RuRh (PBE-GGA, optimized geometry)
data_La2RuRh
_chemical_formula_sum 'La2 Ru1 Rh1'
_space_group_name_H-M_alt 'P 1'
_space_group_IT_number 1
_cell_length_a 4.927
_cell_length_b 4.927
_cell_length_c 4.927
_cell_angle_alpha 60.00
_cell_angle_beta 60.00
_cell_angle_gamma 60.00
loop_
_space_group_symop_operation_xyz
'x,y,z'
loop_
_atom_site_label
_atom_site_type_symbol
_atom_site_fract_x
_atom_site_fract_y
_atom_site_fract_z
_atom_site_occupancy
La1 La 0.000 0.000 0.000 1
La2 La 0.250 0.250 0.250 1
Rh1 Rh 0.500 0.500 0.500 1
Ru1 Ru 0.750 0.750 0.750 1
# Final energy in eV/atom: -6.67
# Spin magnetization in μB/f.u.: 1.1
# Calculated volume in Å³ per atom: 21.1
# DFT formation energy in eV/atom: -0.054

***

Entry 4:
# La2RuRh (PBE-GGA, optimized geometry)
data_La2RuRh
_chemical_formula_sum 'La2 Ru1 Rh1'
_space_group_name_H-M_alt 'P 1'
_space_group_IT_number 1
_cell_length_a 4.014
_cell_length_b 4.014
_cell_length_c 5.955
_cell_angle_alpha 90.00
_cell_angle_beta 90.00
_cell_angle_gamma 90.00
loop_
_space_group_symop_operation_xyz
'x,y,z'
loop_
_atom_site_label
_atom_site_type_symbol
_atom_site_fract_x
_atom_site_fract_y
_atom_site_fract_z
_atom_site_occupancy
La1 La 0.000 0.000 0.906 1
La2 La 0.500 0.500 0.337 1
Rh1 Rh 0.000 0.000 0.418 1
Ru1 Ru 0.500 0.500 0.839 1
# Final energy in eV/atom: -6.82
# Spin magnetization in μB/f.u.: 0.0
# Calculated volume in Å³ per atom: 24.0
# DFT formation energy in eV/atom: -0.201

***

Entry 5:
# LaRuRh (PBE-GGA, optimized geometry)
data_LaRuRh
_chemical_formula_sum 'La1 Ru1 Rh1'
_space_group_name_H-M_alt 'P 1'
_space_group_IT_number 1
_cell_length_a 4.508
_cell_length_b 4.508
_cell_length_c 4.508
_cell_angle_alpha 60.00
_cell_angle_beta 60.00
_cell_angle_gamma 60.00
loop_
_space_group_symop_operation_xyz
'x,y,z'
loop_
_atom_site_label
_atom_site_type_symbol
_atom_site_fract_x
_atom_site_fract_y
_atom_site_fract_z
_atom_site_occupancy
La1 La 0.250 0.250 0.250 1
Rh1 Rh 0.000 0.000 0.000 1
Ru1 Ru 0.500 0.500 0.500 1
# Final energy in eV/atom: -6.64
# Spin magnetization in μB/f.u.: 0.0
# Energy above the most stable polymorph in this dataset in eV per atom: 0.7354
# Calculated volume in Å³ per atom: 21.6
# DFT formation energy in eV/atom: 0.542

***

Entry 6:
# La8RuRh5 (PBE-GGA, optimized geometry)
data_La8RuRh5
_chemical_formula_sum 'La8 Ru1 Rh5'
_space_group_name_H-M_alt 'P 1'
_space_group_IT_number 1
_cell_length_a 7.785
_cell_length_b 7.785
_cell_length_c 7.785
_cell_angle_alpha 109.65
_cell_angle_beta 109.11
_cell_angle_gamma 109.65
loop_
_space_group_symop_operation_xyz
'x,y,z'
loop_
_atom_site_label
_atom_site_type_symbol
_atom_site_fract_x
_atom_site_fract_y
_atom_site_fract_z
_atom_site_occupancy
La1 La 0.127 0.748 0.985 1
La2 La 0.015 0.142 0.763 1
La3 La 0.740 0.251 0.376 1
La4 La 0.624 0.364 0.875 1
La5 La 0.511 0.636 0.260 1
La6 La 0.621 0.858 0.873 1
La7 La 0.237 0.252 0.379 1
La8 La 0.125 0.749 0.489 1
Ru1 Ru 0.250 0.500 0.750 1
Rh1 Rh 0.995 0.374 0.125 1
Rh2 Rh 0.875 0.870 0.248 1
Rh3 Rh 0.752 0.626 0.622 1
Rh4 Rh 0.500 0.000 0.500 1
Rh5 Rh 0.378 0.130 0.005 1
# Final energy in eV/atom: -6.73
# Spin magnetization in μB/f.u.: 0.0
# Calculated volume in Å³ per atom: 25.9
# DFT formation energy in eV/atom: -0.628

***

Entry 7:
# LaRu2Rh (PBE-GGA, optimized geometry)
data_LaRu2Rh
_chemical_formula_sum 'La1 Ru2 Rh1'
_space_group_name_H-M_alt 'P 1'
_space_group_IT_number 1
_cell_length_a 2.971
_cell_length_b 2.971
_cell_length_c 7.964
_cell_angle_alpha 90.00
_cell_angle_beta 90.00
_cell_angle_gamma 90.00
loop_
_space_group_symop_operation_xyz
'x,y,z'
loop_
_atom_site_label
_atom_site_type_symbol
_atom_site_fract_x
_atom_site_fract_y
_atom_site_fract_z
_atom_site_occupancy
La1 La 0.000 0.000 0.501 1
Rh1 Rh 0.500 0.500 0.789 1
Ru1 Ru 0.000 0.000 0.007 1
Ru2 Ru 0.500 0.500 0.203 1
# Final energy in eV/atom: -7.57
# Spin magnetization in μB/f.u.: 0.0
# Calculated volume in Å³ per atom: 17.6
# DFT formation energy in eV/atom: 0.142

***

Entry 8:
# LaScRuRh (PBE-GGA, optimized geometry)
data_LaScRuRh
_chemical_formula_sum 'La1 Sc1 Ru1 Rh1'
_space_group_name_H-M_alt 'P 1'
_space_group_IT_number 1
_cell_length_a 4.809
_cell_length_b 4.809
_cell_length_c 4.809
_cell_angle_alpha 60.00
_cell_angle_beta 60.00
_cell_angle_gamma 60.00
loop_
_space_group_symop_operation_xyz
'x,y,z'
loop_
_atom_site_label
_atom_site_type_symbol
_atom_site_fract_x
_atom_site_fract_y
_atom_site_fract_z
_atom_site_occupancy
Sc1 Sc 0.500 0.500 0.500 1
Ru1 Ru 0.750 0.750 0.750 1
Rh1 Rh 0.250 0.250 0.250 1
La1 La 0.000 0.000 0.000 1
# Final energy in eV/atom: -7.47
# Spin magnetization in μB/f.u.: 0.0
# Calculated volume in Å³ per atom: 19.7
# DFT formation energy in eV/atom: -0.497